DFT (PBE) results for an optimized crystal structure of Pm2Si2Tc2H.

Results
E_tot: -48.47 eV/f.u.
ρ: 7242 kg/m3
size of the total moment: 0.00 μB per cell
symmetry: I4/mmm, No. 139

```
Pm2Si2Tc2H
1.0
-1.7752 1.9334 -3.1811
1.6965 -2.7169 -2.5980
-5.8437 -3.9170 3.5539
Si Pm Tc H
2 2 2 1
direct
0.6029 0.6029 0.2058 Si
0.3971 0.3971 0.7942 Si
0.1618 0.1618 0.3236 Pm
0.8382 0.8382 0.6764 Pm
0.5000 0.0000 0.0000 Tc
0.0000 0.5000 0.0000 Tc
0.0000 0.0000 0.0000 H
```